This record from Alexandria describes crystalline La5Nd4Tm at its relaxed geometry. The functional is GGA-PBE.

a b c (Å): 3.726 3.726 25.722
angles (deg): 90.00 90.00 90.00
Fractional positions:
La 0.500 0.500 0.095
La 0.500 0.500 0.297
La 0.500 0.500 0.500
La 0.500 0.500 0.703
La 0.500 0.500 0.905
Nd 0.000 0.000 0.195
Nd 0.000 0.000 0.398
Nd 0.000 0.000 0.602
Nd 0.000 0.000 0.805
Tm 0.000 0.000 0.000

Calculated values
Formation enthalpy at 0 K ... 0.019 eV per atom
E above lowest polymorph ... 0.000 eV per atom
M_tot ... 0.00 Bohr magnetons per cell
Total DFT energy (no corrections) ... -4.799 eV/atom
SG ... P4/mmm (123)



This record from Alexandria describes crystalline Tl3SbPb at its relaxed geometry. The functional is GGA-PBE.

a b c (Å): 6.994 6.994 8.838
angles (deg): 100.47 126.37 91.20
Fractional positions:
Tl 0.760 0.916 0.183
Tl 0.267 0.424 0.183
Tl 0.733 0.576 0.817
Tl 0.779 0.427 0.206
Tl 0.240 0.084 0.817
Tl 0.221 0.573 0.794
Sb 0.747 0.763 0.510
Sb 0.253 0.237 0.490
Pb 0.726 0.077 0.802
Pb 0.274 0.923 0.198

Calculated values
E_form (uncorrected) ... 0.2 eV per formula unit
E above lowest polymorph ... 0.044 eV per atom
M_tot ... 0.00 Bohr magnetons per cell
Total DFT energy (no corrections) ... -2.942 eV/atom
SG ... C2/m (12)



This record from Alexandria describes crystalline LiScBRh2 at its relaxed geometry. The functional is GGA-PBE.

a b c (Å): 4.122 4.122 4.062
angles (deg): 90.00 90.00 90.00
Fractional positions:
Sc 0.500 0.500 0.500
B 0.000 0.000 0.000
Rh 0.000 0.500 0.000
Rh 0.500 0.000 0.000
Li 0.000 0.000 0.500

Calculated values
Formation enthalpy at 0 K ... -0.584 eV per atom
M_tot ... 0.00 Bohr magnetons per cell
Total DFT energy (no corrections) ... -6.509 eV/atom
SG ... P4/mmm (123)



This record from Alexandria describes crystalline Ta2AlAg at its relaxed geometry. The functional is GGA-PBE.

a b c (Å): 2.838 2.838 8.789
angles (deg): 90.00 90.00 99.59
Fractional positions:
Al 0.500 0.500 0.748
Ag 0.000 0.000 0.513
Ta 0.000 0.000 0.990
Ta 0.500 0.500 0.249

Calculated values
Formation enthalpy at 0 K ... -0.008 eV per atom
E above lowest polymorph ... 0.000 eV per atom
M_tot ... 0.00 Bohr magnetons per cell
Total DFT energy (no corrections) ... -7.582 eV/atom
SG ... Cmm2 (35)



This record from Alexandria describes crystalline TiVBi2H at its relaxed geometry. The functional is GGA-PBE.

a b c (Å): 5.372 4.372 5.372
angles (deg): 90.00 90.00 90.00
Last column: magnetic moment on the atom in μB.
Fractional positions:
H 0.500 0.500 0.500  0.18
Ti 0.000 0.000 0.000  0.09
Bi 0.000 0.000 0.500  -0.03
Bi 0.500 0.000 0.000  0.02
V 0.000 0.500 0.000  -0.07

Calculated values
M_tot ... 0.44 Bohr magnetons per cell
Total DFT energy (no corrections) ... -4.529 eV/atom
SG ... P4/mmm (123)



This record from Alexandria describes crystalline MoPbS2N at its relaxed geometry. The functional is GGA-PBE.

a b c (Å): 5.025 5.025 3.890
angles (deg): 90.00 90.00 90.00
Last column: magnetic moment on the atom in μB.
Fractional positions:
Pb 0.500 0.500 0.500  0.01
Mo 0.000 0.000 0.000  0.15
S 0.000 0.500 0.000  0.00
S 0.500 0.000 0.000  0.00
N 0.000 0.000 0.500  -0.01

Calculated values
E_form (uncorrected) ... -0.7 eV per formula unit
E above lowest polymorph ... 0.000 eV per atom
M_tot ... 0.17 Bohr magnetons per cell
Total DFT energy (no corrections) ... -6.355 eV/atom
SG ... P4/mmm (123)



This record from Alexandria describes crystalline La8C3I3N at its relaxed geometry. The functional is GGA-PBE.

a b c (Å): 7.749 7.764 9.214
angles (deg): 115.01 90.00 119.94
Last column: magnetic moment on the atom in μB.
Fractional positions:
La 0.275 0.549 0.324  -0.01
La 0.725 0.451 0.676  -0.01
La 0.776 0.552 0.327  -0.06
La 0.224 0.448 0.673  -0.06
La 0.776 0.050 0.327  -0.06
La 0.224 0.950 0.673  -0.06
La 0.274 0.050 0.327  -0.06
La 0.726 0.950 0.673  -0.06
C 0.500 0.000 0.500  0.01
C 0.500 0.500 0.500  0.01
C 0.000 0.500 0.500  0.01
I 0.000 0.000 0.000  -0.01
I 0.000 0.500 0.000  -0.01
I 0.500 0.500 0.000  -0.01
N 0.000 0.000 0.500  0.01

Calculated values
E_form (uncorrected) ... -10.9 eV per formula unit
M_tot ... 1.32 Bohr magnetons per cell
Total DFT energy (no corrections) ... -6.062 eV/atom
SG ... C2/m (12)



This record from Alexandria describes crystalline MgCoNi2 at its relaxed geometry. The functional is GGA-PBE.

a b c (Å): 2.655 3.467 5.400
angles (deg): 90.00 90.00 90.00
Last column: magnetic moment on the atom in μB.
Fractional positions:
Co 0.500 0.500 0.250  1.72
Mg 0.500 0.500 0.750  -0.01
Ni 0.000 0.000 0.027  0.42
Ni 0.000 0.000 0.473  0.42

Calculated values
Formation enthalpy at 0 K ... 0.007 eV per atom
M_tot ... 2.42 Bohr magnetons per cell
Total DFT energy (no corrections) ... -5.059 eV/atom
SG ... Pmmm (47)